Entry from Alexandria: crystalline LiNCl2 at its relaxed geometry (PBE).

Density: 1.98 g cm⁻³
ΔE_f (raw): 434 meV per atom
Space group: I-42d (122)
Energy relative to the lowest polymorph listed for this composition: 0.564 eV/atom

a b c (Å): 4.9368 4.9368 7.2300
angles (deg): 70.04 70.04 90.00
Last column: nearest neighbours and their distance in Å.
Element x y z (fractional)
N  0.0000  0.0000  0.0000  4 Cl 2.20
N  0.7500  0.2500  0.5000  4 Cl 2.20
Li  0.5000  0.5000  0.0000  4 Cl 2.54
Li  0.2500  0.7500  0.5000  4 Cl 2.54
Cl  0.6917  0.1250  0.2500  2 N 2.20
Cl  0.0583  0.6250  0.2500  2 N 2.20
Cl  0.3750  0.3083  0.7500  2 N 2.20
Cl  0.8750  0.9417  0.7500  2 N 2.20